CaVF6, single point on PBEsol structure, DFT SCAN; energy relative to the elements, uncorrected = -3496 meV/atom; total moment = 0.125 μB/atom
1.0
5.583 0.000 0.001
2.792 4.836 0.002
2.793 1.613 4.725
F Ca V
6 1 1
direct
0.699 0.852 0.225
0.149 0.776 0.775
0.222 0.699 0.227
0.778 0.301 0.773
0.851 0.224 0.225
0.301 0.148 0.775
0.500 0.500 0.500
0.000 0.000 0.000